(1)
Compound: Hg7Te
Source: the Alexandria database
Functional: PBE-GGA
Structure: relaxed

Cell: 6.749 6.749 6.749 Å, 60.00 60.00 60.00°
Fractional coordinates of all 8 atoms:
Hg 0.000 0.500 0.000
Hg 0.500 0.000 0.000
Hg 0.000 0.500 0.500
Hg 0.500 0.500 0.500
Hg 0.500 0.000 0.500
Hg 0.500 0.500 0.000
Hg 0.000 0.000 0.500
Te 0.000 0.000 0.000

Properties
crystal system: cubic
density: 11.7 g cm⁻³
Fermi-level density of states: 6.8 states/eV per cell
raw formation energy: 0.12 eV/atom

(2)
Compound: Tl2CuH2F6
Source: the Alexandria database
Functional: PBE-GGA
Structure: relaxed

Cell: 5.279 5.279 6.971 Å, 67.75 67.75 60.00°
Fractional coordinates of all 11 atoms:
F 0.698 0.247 0.808
F 0.753 0.302 0.192
F 0.302 0.753 0.192
F 0.247 0.698 0.808
F 0.753 0.753 0.192
F 0.247 0.247 0.808
Tl 0.220 0.220 0.340
Tl 0.780 0.780 0.660
Cu 0.000 0.000 0.000
H 0.605 0.605 0.184
H 0.395 0.395 0.816

Properties
crystal system: trigonal
total energy: -3.91 eV/atom
density: 6.5 g cm⁻³
Fermi-level density of states: 3.0 states/eV per cell

(3)
Compound: GeBiS2Cl
Source: the Alexandria database
Functional: PBE-GGA
Structure: relaxed

Cell: 5.339 5.339 5.199 Å, 90.00 90.00 90.00°
Fractional coordinates of all 5 atoms:
S 0.500 0.000 0.000
S 0.000 0.500 0.000
Ge 0.500 0.500 0.500
Cl 0.000 0.000 0.500
Bi 0.000 0.000 0.000

Properties
crystal system: tetragonal
density: 4.3 g cm⁻³
Fermi-level density of states: 1.6 states/eV per cell
raw formation energy: 0.29 eV/atom
excess energy over the best structure of this formula in the dataset: 0.2912 eV per atom

(4)
Compound: Ba2ScCu2O6
Source: the Alexandria database
Functional: PBE-GGA
Structure: relaxed

Cell: 5.942 5.942 6.556 Å, 63.05 63.05 60.00°
Fractional coordinates of all 11 atoms:
Sc 0.000 0.000 0.000
Cu 0.581 0.581 0.256
Cu 0.419 0.419 0.744
Ba 0.780 0.780 0.660
Ba 0.220 0.220 0.340
O 0.230 0.762 0.246
O 0.762 0.230 0.246
O 0.238 0.238 0.754
O 0.238 0.770 0.754
O 0.762 0.762 0.246
O 0.770 0.238 0.754

Properties
crystal system: trigonal
density: 5.3 g cm⁻³
Fermi-level density of states: 5.3 states/eV per cell
raw formation energy: -1.93 eV/atom

(5)
Compound: Sr2ReAs
Source: the Alexandria database
Functional: PBE-GGA
Structure: relaxed

Cell: 11.273 11.273 8.307 Å, 47.27 47.27 90.00°
Fractional coordinates of all 8 atoms:
Sr 0.875 0.708 0.750
Sr 0.458 0.125 0.250
Sr 0.375 0.542 0.750
Sr 0.292 0.625 0.250
As 0.500 0.500 0.000
As 0.250 0.750 0.500
Re 0.750 0.250 0.500
Re 0.000 0.000 0.000

Properties
calculated formation energy: 324 meV/atom
crystal system: tetragonal
density: 4.9 g cm⁻³
Fermi-level density of states: 10.3 states/eV per cell

(6)
Compound: Ba3MgPd
Source: the Alexandria database
Functional: PBE-GGA
Structure: relaxed

Cell: 6.230 6.230 6.230 Å, 90.00 90.00 90.00°
Fractional coordinates of all 5 atoms:
Ba 0.000 0.000 0.500
Ba 0.000 0.500 0.000
Ba 0.500 0.000 0.000
Pd 0.000 0.000 0.000
Mg 0.500 0.500 0.500

Properties
calculated formation energy: -188 meV/atom
crystal system: cubic
density: 3.7 g cm⁻³
Fermi-level density of states: 3.8 states/eV per cell
excess energy over the best structure of this formula in the dataset: 0.0000 eV per atom

(7)
Compound: CaZrGa2Te
Source: the Alexandria database
Functional: PBE-GGA
Structure: relaxed

Cell: 5.214 6.173 5.214 Å, 90.00 90.00 90.00°
Fractional coordinates of all 5 atoms:
Ca 0.000 0.500 0.000
Ga 0.500 0.000 0.000
Ga 0.000 0.000 0.500
Te 0.500 0.500 0.500
Zr 0.000 0.000 0.000

Properties
crystal system: tetragonal
density: 3.9 g cm⁻³
Fermi-level density of states: 8.0 states/eV per cell
raw formation energy: 0.46 eV/atom

(8)
Compound: V6TcMo2
Source: the Alexandria database
Functional: PBE-GGA
Structure: relaxed

Cell: 4.060 5.932 7.258 Å, 114.12 106.43 90.00°
Fractional coordinates of all 9 atoms:
V 0.500 0.247 0.000
V 0.834 0.587 0.669
V 0.500 0.753 0.000
V 0.166 0.918 0.331
V 0.166 0.413 0.331
V 0.834 0.082 0.669
Mo 0.666 0.666 0.332
Mo 0.334 0.334 0.668
Tc 0.000 0.000 0.000

Properties
calculated formation energy: 677 meV/atom
crystal system: monoclinic
density: 6.5 g cm⁻³
Fermi-level density of states: 14.5 states/eV per cell
excess energy over the best structure of this formula in the dataset: 0.7942 eV per atom

(9)
Compound: Li2SbPt
Source: the Alexandria database
Functional: PBE-GGA
Structure: relaxed

Cell: 4.617 3.064 4.782 Å, 89.94 90.00 90.00°
Fractional coordinates of all 4 atoms:
Pt 0.000 0.625 0.477
Li 0.000 0.124 0.976
Li 0.500 0.126 0.282
Sb 0.500 0.625 0.765

Properties
crystal system: orthorhombic
density: 8.1 g cm⁻³
Fermi-level density of states: 1.7 states/eV per cell
raw formation energy: -0.48 eV/atom

(10)
Compound: Al2AuBr
Source: the Alexandria database
Functional: PBE-GGA
Structure: relaxed

Cell: 7.499 7.499 7.499 Å, 28.76 28.76 28.76°
Fractional coordinates of all 4 atoms:
Al 0.985 0.985 0.985
Al 0.515 0.515 0.515
Br 0.750 0.750 0.750
Au 0.250 0.250 0.250

Properties
crystal system: trigonal
density: 6.4 g cm⁻³
Fermi-level density of states: 1.1 states/eV per cell
raw formation energy: -0.25 eV/atom
excess energy over the best structure of this formula in the dataset: 0.1047 eV per atom

(11)
Compound: LaFeIBr2
Source: the Alexandria database
Functional: PBE-GGA
Structure: relaxed

Cell: 5.670 6.471 5.670 Å, 90.00 90.00 90.00°
Fractional coordinates of all 5 atoms:
I 0.500 0.500 0.500
Br 0.000 0.000 0.500
Br 0.500 0.000 0.000
La 0.000 0.000 0.000
Fe 0.000 0.500 0.000

Properties
crystal system: tetragonal
density: 3.8 g cm⁻³
Fermi-level density of states: 15.9 states/eV per cell
raw formation energy: -0.29 eV/atom

(12)
Compound: BaTiIn
Source: the Alexandria database
Functional: PBE-GGA
Structure: relaxed

Cell: 3.482 3.482 24.833 Å, 90.00 90.00 120.00°
Fractional coordinates of all 9 atoms:
Ti 0.333 0.667 0.507
Ti 0.000 0.000 0.840
Ti 0.667 0.333 0.173
In 0.333 0.667 0.084
In 0.000 0.000 0.417
In 0.667 0.333 0.750
Ba 0.667 0.333 0.959
Ba 0.000 0.000 0.626
Ba 0.333 0.667 0.293

Properties
calculated formation energy: 439 meV/atom
crystal system: trigonal
density: 5.7 g cm⁻³
Fermi-level density of states: 10.8 states/eV per cell
excess energy over the best structure of this formula in the dataset: 0.2636 eV per atom